CuH2Pt2: optimized geometry, GGA-PBEsol.

Computed properties:
Final energy in eV/cell: -24.74
Mass density in kg/m³: 15664
V in Å³/cell: 48.3
Space group: I4/mmm, No. 139

abc: 2.9769 2.9769 5.8437
angles: 104.76 104.76 90.00
With the nearest neighbours (Å) after each atom.
Atoms (fractional coordinates):
H1 0.2500 0.7500 0.5000  4 Pt 1.91, 4 H 2.11
H2 0.7500 0.2500 0.5000  4 Pt 1.91, 4 H 2.11
Pt1 0.3596 0.3596 0.7191  4 H 1.91
Pt2 0.6404 0.6404 0.2809  4 H 1.91
Cu1 0.0000 0.0000 0.0000  8 Pt 2.60

=====

Cu3HPt: optimized geometry, GGA-PBEsol.

Computed properties:
Final energy in eV/cell: -15.82
Energy above the most stable polymorph in this dataset in kJ/mol of atoms: 144.7
Mass density in kg/m³: 6353
V in Å³/cell: 101.1
Space group: Pm-3m, No. 221

abc: 4.6583 4.6583 4.6583
angles: 90.00 90.00 90.00
With the nearest neighbours (Å) after each atom.
Atoms (fractional coordinates):
H1 0.5000 0.5000 0.5000  12 Cu 3.29
Cu1 0.0000 0.5000 0.0000  2 Pt 2.33
Cu2 0.0000 0.0000 0.5000  2 Pt 2.33
Cu3 0.5000 0.0000 0.0000  2 Pt 2.33
Pt1 0.0000 0.0000 0.0000  6 Cu 2.33

=====

RbCu3H: optimized geometry, GGA-PBEsol.

Computed properties:
Final energy in eV/cell: -12.83
Mass density in kg/m³: 6079
V in Å³/cell: 75.7
Space group: Pm-3m, No. 221

abc: 4.2302 4.2302 4.2302
angles: 90.00 90.00 90.00
With the nearest neighbours (Å) after each atom.
Atoms (fractional coordinates):
H1 0.0000 0.0000 0.0000  6 Cu 2.12
Cu1 0.0000 0.5000 0.0000  2 H 2.12
Cu2 0.0000 0.0000 0.5000  2 H 2.12
Cu3 0.5000 0.0000 0.0000  2 H 2.12
Rb1 0.5000 0.5000 0.5000  12 Cu 2.99

=====

RbCuSb2H: optimized geometry, GGA-PBEsol.

Computed properties:
Final energy in eV/cell: -15.43
Mass density in kg/m³: 6126
V in Å³/cell: 106.7
Space group: P4/mmm, No. 123

abc: 4.6524 4.6524 4.9288
angles: 90.00 90.00 90.00
With the nearest neighbours (Å) after each atom.
Atoms (fractional coordinates):
Sb1 0.0000 0.5000 0.0000  2 H 2.33
Sb2 0.5000 0.0000 0.0000  2 H 2.33
Cu1 0.5000 0.5000 0.5000  4 Rb 3.29, 8 Sb 3.39
Rb1 0.0000 0.0000 0.5000  2 H 2.46
H1 0.0000 0.0000 0.0000  4 Sb 2.33, 2 Rb 2.46

=====

Which of these has the lowest final energy?
CuH2Pt2

=====

What is the final energy in the fourth record?
-15.43 eV/cell

=====

V of number 4 (RbCuSb2H)?
106.7 Å³/cell